Entry 1:
# DyNb2Ru3 | Alexandria via LeMat-Bulk | PBE | optimized geometry
# Calculated formation energy ... -0.30 eV per atom
data_DyNb2Ru3
_cell_length_a 3.167
_cell_length_b 3.167
_cell_length_c 10.382
_cell_angle_alpha 90.00
_cell_angle_beta 90.00
_cell_angle_gamma 90.00
_space_group_name_H-M_alt 'P 1'
_space_group_IT_number 1
loop_
_space_group_symop_operation_xyz
'x,y,z'
loop_
_atom_site_label
_atom_site_type_symbol
_atom_site_fract_x
_atom_site_fract_y
_atom_site_fract_z
Dy1 Dy 0.000 0.000 0.000
Nb1 Nb 0.000 0.000 0.340
Nb2 Nb 0.000 0.000 0.660
Ru1 Ru 0.500 0.500 0.198
Ru2 Ru 0.500 0.500 0.500
Ru3 Ru 0.500 0.500 0.802

***

Entry 2:
# PmGaSn | Alexandria via LeMat-Bulk | PBE | optimized geometry
# Calculated formation energy ... -0.56 eV per atom
data_PmGaSn
_cell_length_a 6.230
_cell_length_b 6.230
_cell_length_c 6.230
_cell_angle_alpha 138.15
_cell_angle_beta 98.32
_cell_angle_gamma 96.34
_space_group_name_H-M_alt 'P 1'
_space_group_IT_number 1
loop_
_space_group_symop_operation_xyz
'x,y,z'
loop_
_atom_site_label
_atom_site_type_symbol
_atom_site_fract_x
_atom_site_fract_y
_atom_site_fract_z
Pm1 Pm 0.248 0.248 0.000
Pm2 Pm 0.752 0.752 0.000
Ga1 Ga 0.351 0.000 0.351
Ga2 Ga 0.649 0.000 0.649
Sn1 Sn 0.179 0.500 0.679
Sn2 Sn 0.821 0.500 0.321

***

Entry 3:
# Co2TcW | Alexandria via LeMat-Bulk | PBE | optimized geometry
# Calculated formation energy ... 0.20 eV per atom
data_Co2TcW
_cell_length_a 4.554
_cell_length_b 4.554
_cell_length_c 4.581
_cell_angle_alpha 100.17
_cell_angle_beta 100.17
_cell_angle_gamma 34.43
_space_group_name_H-M_alt 'P 1'
_space_group_IT_number 1
loop_
_space_group_symop_operation_xyz
'x,y,z'
loop_
_atom_site_label
_atom_site_type_symbol
_atom_site_fract_x
_atom_site_fract_y
_atom_site_fract_z
Co1 Co 0.249 0.249 0.244
Co2 Co 0.751 0.751 0.756
Tc1 Tc 0.500 0.500 0.000
W1 W 0.000 0.000 0.500

***

Entry 4:
# GdMgAg | Alexandria via LeMat-Bulk | PBE | optimized geometry
# Calculated formation energy ... -0.19 eV per atom
data_GdMgAg
_cell_length_a 6.339
_cell_length_b 6.339
_cell_length_c 6.339
_cell_angle_alpha 148.01
_cell_angle_beta 148.01
_cell_angle_gamma 45.87
_space_group_name_H-M_alt 'P 1'
_space_group_IT_number 1
loop_
_space_group_symop_operation_xyz
'x,y,z'
loop_
_atom_site_label
_atom_site_type_symbol
_atom_site_fract_x
_atom_site_fract_y
_atom_site_fract_z
Gd1 Gd 0.000 0.000 0.000
Mg1 Mg 0.701 0.701 0.000
Ag1 Ag 0.326 0.326 0.000

***

Entry 5:
# TcBiRu2 | Alexandria via LeMat-Bulk | PBE | optimized geometry
# Calculated formation energy ... 0.99 eV per atom
data_TcBiRu2
_cell_length_a 7.271
_cell_length_b 7.271
_cell_length_c 7.271
_cell_angle_alpha 134.44
_cell_angle_beta 134.44
_cell_angle_gamma 66.40
_space_group_name_H-M_alt 'P 1'
_space_group_IT_number 1
loop_
_space_group_symop_operation_xyz
'x,y,z'
loop_
_atom_site_label
_atom_site_type_symbol
_atom_site_fract_x
_atom_site_fract_y
_atom_site_fract_z
Tc1 Tc 0.000 0.000 0.000
Tc2 Tc 0.750 0.250 0.500
Bi1 Bi 0.250 0.750 0.500
Bi2 Bi 0.500 0.500 0.000
Ru1 Ru 0.075 0.625 0.950
Ru2 Ru 0.375 0.325 0.450
Ru3 Ru 0.675 0.125 0.050
Ru4 Ru 0.875 0.925 0.550

***

Entry 6:
# PaPd2RhAu | Alexandria via LeMat-Bulk | PBE | optimized geometry
# Calculated formation energy ... -0.27 eV per atom
data_PaPd2RhAu
_cell_length_a 7.688
_cell_length_b 7.688
_cell_length_c 7.688
_cell_angle_alpha 152.42
_cell_angle_beta 152.42
_cell_angle_gamma 39.40
_space_group_name_H-M_alt 'P 1'
_space_group_IT_number 1
loop_
_space_group_symop_operation_xyz
'x,y,z'
loop_
_atom_site_label
_atom_site_type_symbol
_atom_site_fract_x
_atom_site_fract_y
_atom_site_fract_z
Pa1 Pa 0.000 0.000 0.000
Pd1 Pd 0.348 0.848 0.500
Pd2 Pd 0.848 0.348 0.500
Rh1 Rh 0.590 0.590 0.000
Au1 Au 0.199 0.199 0.000

***

Entry 7:
# Dy2YTcN4 | Alexandria via LeMat-Bulk | PBE | optimized geometry
# Uncorrected formation energy ... -1084 meV per atom
data_Dy2YTcN4
_cell_length_a 6.045
_cell_length_b 6.045
_cell_length_c 11.599
_cell_angle_alpha 90.00
_cell_angle_beta 90.00
_cell_angle_gamma 147.21
_space_group_name_H-M_alt 'P 1'
_space_group_IT_number 1
loop_
_space_group_symop_operation_xyz
'x,y,z'
loop_
_atom_site_label
_atom_site_type_symbol
_atom_site_fract_x
_atom_site_fract_y
_atom_site_fract_z
Dy1 Dy 0.132 0.868 0.539
Dy2 Dy 0.132 0.868 0.961
Dy3 Dy 0.868 0.132 0.039
Dy4 Dy 0.868 0.132 0.461
Y1 Y 0.368 0.632 0.750
Y2 Y 0.632 0.368 0.250
Tc1 Tc 0.366 0.634 0.250
Tc2 Tc 0.634 0.366 0.750
N1 N 0.050 0.950 0.750
N2 N 0.236 0.764 0.131
N3 N 0.236 0.764 0.369
N4 N 0.500 0.500 0.000
N5 N 0.500 0.500 0.500
N6 N 0.764 0.236 0.631
N7 N 0.764 0.236 0.869
N8 N 0.950 0.050 0.250

***

Entry 8:
# TbNd2Sn | Alexandria via LeMat-Bulk | PBE | optimized geometry
# Calculated formation energy ... 0.00 eV per atom
data_TbNd2Sn
_cell_length_a 12.247
_cell_length_b 12.247
_cell_length_c 12.247
_cell_angle_alpha 16.52
_cell_angle_beta 16.52
_cell_angle_gamma 16.52
_space_group_name_H-M_alt 'P 1'
_space_group_IT_number 1
loop_
_space_group_symop_operation_xyz
'x,y,z'
loop_
_atom_site_label
_atom_site_type_symbol
_atom_site_fract_x
_atom_site_fract_y
_atom_site_fract_z
Tb1 Tb 0.000 0.000 0.000
Nd1 Nd 0.093 0.093 0.093
Nd2 Nd 0.907 0.907 0.907
Sn1 Sn 0.500 0.500 0.500